(1)
Crystalline Cs3SrAs2S6 at its relaxed geometry, computed with PBE-GGA.

The structure in POSCAR format:
```
Cs3SrAs2S6
1.0
7.617 0.000 0.000
-3.808 6.596 0.000
0.000 0.000 9.268
Cs Sr As S
3 1 2 6
direct
0.000 0.000 0.000
0.333 0.667 0.644
0.667 0.333 0.356
0.000 0.000 0.500
0.333 0.667 0.217
0.667 0.333 0.783
0.175 0.350 0.301
0.175 0.825 0.301
0.350 0.175 0.699
0.650 0.825 0.301
0.825 0.175 0.699
0.825 0.650 0.699
```

Output
* total moment: 0.0 μB per cell
* E: -4.084 eV/atom
* SG: No. 164
* calculated density: 2.955 g/cm³

(2)
Crystalline CsSrAsS4 at its relaxed geometry, computed with PBE-GGA.

The structure in POSCAR format:
```
CsSrAsS4
1.0
6.933 0.000 0.000
0.000 6.956 0.000
-2.835 0.000 9.160
Cs Sr As S
2 2 2 8
direct
0.229 0.250 0.434
0.771 0.750 0.566
0.264 0.250 0.952
0.736 0.750 0.048
0.293 0.750 0.175
0.707 0.250 0.825
0.100 0.750 0.319
0.112 0.750 0.945
0.496 0.501 0.214
0.496 0.999 0.214
0.504 0.001 0.786
0.504 0.499 0.786
0.888 0.250 0.055
0.900 0.250 0.681
```

Output
* total moment: 0.0 μB per cell
* E: -4.425 eV/atom
* SG: No. 11
* calculated density: 3.186 g/cm³

Number 1: formation energy from raw total energies -0.891 eV per atom. Number 2: formation energy from raw total energies -1.040 eV per atom.